1.
Material: Ba2CaInNi
Method: DFT, GGA-PBE
State: optimized geometry

Properties
Symmetry = P4/mmm
Calculated formation energy = -0.33 eV/f.u.

```
5
Lattice="6.067 0.000 0.000 0.000 6.067 0.000 0.000 0.000 5.135" Properties=species:S:1:pos:R:3 pbc="T T T"
Ba 0.000 3.033 0.000
Ba 3.033 0.000 0.000
Ca 0.000 0.000 2.567
In 3.033 3.033 2.567
Ni 3.033 3.033 0.000
```


2.
Material: Ba2CaInNi
Method: DFT, GGA-PBE
State: optimized geometry

Properties
Symmetry = P4/mmm
Calculated formation energy = -0.32 eV/f.u.

```
5
Lattice="5.956 0.000 0.000 0.000 5.956 0.000 0.000 0.000 5.458" Properties=species:S:1:pos:R:3 pbc="T T T"
Ba 0.000 2.978 0.000
Ba 2.978 0.000 0.000
Ca 0.000 0.000 2.729
In 2.978 2.978 2.729
Ni 0.000 0.000 0.000
```


3.
Material: BaCaIn2Ni
Method: DFT, GGA-PBE
State: optimized geometry

Properties
Symmetry = P4/mmm
Calculated formation energy = -1.36 eV/f.u.

```
5
Lattice="5.165 0.000 0.000 0.000 5.165 0.000 0.000 0.000 5.338" Properties=species:S:1:pos:R:3 pbc="T T T"
Ba 0.000 0.000 0.000
Ca 2.583 2.583 0.000
In 0.000 2.583 2.669
In 2.583 0.000 2.669
Ni 2.583 2.583 2.669
```


4.
Material: Ba2CaIn12Ni3
Method: DFT, GGA-PBE
State: optimized geometry

Properties
Symmetry = R-3m
Calculated formation energy = -1.33 eV/f.u.

```
18
Lattice="4.690 2.708 7.144 -4.690 2.708 7.144 0.000 -5.416 7.144" Properties=species:S:1:pos:R:3 pbc="T T T"
Ba 0.000 0.000 1.875
Ba 0.000 0.000 19.557
Ca 0.000 0.000 10.716
In -2.875 -1.660 9.645
In 0.000 -1.999 7.547
In -1.731 1.000 7.547
In 0.000 -3.320 11.787
In -2.875 1.660 11.787
In -1.731 -1.000 13.884
In 1.731 1.000 7.547
In 2.875 -1.660 9.645
In 0.000 3.320 9.645
In 1.731 -1.000 13.884
In 0.000 1.999 13.884
In 2.875 1.660 11.787
Ni -2.345 -1.354 7.144
Ni -2.345 1.354 14.288
Ni 0.000 2.708 7.144
```


5.
Material: Ba2CaInO5
Method: DFT, GGA-PBE
State: optimized geometry

Properties
Symmetry = Cmc2_1

```
18
Lattice="1.887 -7.367 0.000 1.887 7.367 0.000 0.000 0.000 11.165" Properties=species:S:1:pos:R:3 pbc="T T T"
Ba 1.887 5.784 5.582
Ba 1.887 5.391 1.235
Ba 1.887 -5.391 6.817
Ba 1.887 -5.784 0.000
Ca 1.887 4.153 9.214
Ca 1.887 -4.153 3.632
In 1.887 0.452 3.157
In 1.887 -0.452 8.739
O 1.887 6.539 9.658
O 1.887 3.202 5.130
O 1.887 2.635 2.317
O 1.887 1.773 9.086
O 1.887 0.028 6.680
O 1.887 -0.028 1.098
O 1.887 -1.773 3.504
O 1.887 -2.635 7.900
O 1.887 -3.202 10.712
O 1.887 -6.539 4.076
```


6.
Material: Ba3CaIn2O6
Method: DFT, GGA-PBE
State: optimized geometry

Properties
Symmetry = P-3m1

```
12
Lattice="6.294 0.000 0.000 -3.147 5.451 0.000 0.000 0.000 7.071" Properties=species:S:1:pos:R:3 pbc="T T T"
Ba 0.000 0.000 0.000
Ba 0.000 3.634 4.382
Ba 3.147 1.817 2.689
Ca 0.000 0.000 3.536
In 0.000 3.634 1.075
In 3.147 1.817 5.996
O 0.000 1.843 2.140
O -1.551 4.529 2.140
O 1.596 0.921 4.931
O 1.551 4.529 2.140
O 4.698 0.921 4.931
O 3.147 3.608 4.931
```


7.
Material: Ba2CaInO
Method: DFT, GGA-PBE
State: optimized geometry

Properties
Symmetry = P4/mmm

```
5
Lattice="5.790 0.000 0.000 0.000 5.790 0.000 0.000 0.000 4.655" Properties=species:S:1:pos:R:3 pbc="T T T"
Ba 0.000 2.895 0.000
Ba 2.895 0.000 0.000
Ca 0.000 0.000 2.327
In 2.895 2.895 2.327
O 0.000 0.000 0.000
```


8.
Material: BaCaInSbO6
Method: DFT, GGA-PBE
State: optimized geometry

Properties
Symmetry = F-43m

```
10
Lattice="0.000 4.140 4.140 4.140 0.000 4.140 4.140 4.140 0.000" Properties=species:S:1:pos:R:3 pbc="T T T"
Ba 0.000 0.000 0.000
Ca 4.140 4.140 4.140
In 2.070 2.070 2.070
Sb 6.210 6.210 6.210
O 6.210 6.210 4.216
O 6.210 4.216 6.210
O 8.205 6.210 6.210
O 4.216 6.210 6.210
O 6.210 8.205 6.210
O 6.210 6.210 8.205
```


Number 1: total energy -14.7 eV/cell. Number 2: total energy -14.7 eV/cell. Number 3: total energy -16.5 eV/cell. Number 4: total energy -57.4 eV/cell. Number 5: total energy -105.6 eV/cell. Number 6: total energy -67.5 eV/cell. Number 7: total energy -19.8 eV/cell. Number 8: total energy -61.0 eV/cell.